The following is a DFT calculation (PBE) of a geometry-optimized DyPaZnSi structure.

abc: 4.969 4.969 4.969
angles: 60.00 60.00 60.00
Element x y z (fractional)
Dy 0.000 0.000 0.000
Pa 0.500 0.500 0.500
Zn 0.250 0.250 0.250
Si 0.750 0.750 0.750

Output
The value obtained for the uncorrected energy is -5.407 eV/atom. The volume is 87 Å³/f.u. The calculation puts the raw formation energy at -0.83 eV/f.u. As for the space group: No. 216.

The following is a DFT calculation (PBE) of a geometry-optimized SmDyPa structure.

abc: 4.652 4.652 8.483
angles: 90.00 90.00 90.00
Element x y z (fractional)
Sm 0.250 0.250 0.199
Sm 0.750 0.750 0.801
Dy 0.250 0.250 0.787
Dy 0.750 0.750 0.213
Pa 0.250 0.750 0.500
Pa 0.750 0.250 0.500

Output
The value obtained for the uncorrected energy is -5.992 eV/atom. The volume is 92 Å³/f.u. As for the space group: No. 129.